No. 1
Material: CsNaPd3
Method: DFT, GGA-PBE
State: relaxed Values from VASP.

Summary:
Its symmetry is Pm-3m. As for the total moment: 0.00 μB/atom. The density of states at the Fermi level comes out at 0.92 states/eV/f.u. The value obtained for the volume is 130.7 Å³/cell. As for the energy of formation from the pure elements: 649 meV per atom.

```
&SYSTEM
  ibrav = 0, nat = 5, ntyp = 3
/
ATOMIC_SPECIES
Na 22.99 Na.upf
Cs 132.91 Cs.upf
Pd 106.42 Pd.upf
ATOMIC_POSITIONS crystal
Na 0.0000 0.0000 0.0000
Cs 0.5000 0.5000 0.5000
Pd 0.5000 0.0000 0.0000
Pd 0.0000 0.0000 0.5000
Pd 0.0000 0.5000 0.0000
CELL_PARAMETERS angstrom
-3.4177 2.3513 -2.9234
-1.5858 -4.4893 -1.7568
-3.4000 -0.2696 3.7580
```



No. 2
Material: Ac6In2Rh
Method: DFT, GGA-PBE
State: relaxed Values from VASP.

Summary:
Its symmetry is P2_1/c. As for the total moment: 0.00 μB/atom. The density of states at the Fermi level comes out at 9.26 states/eV/f.u. The value obtained for the volume is 703.4 Å³/cell. As for the energy of formation from the pure elements: -335 meV per atom.

```
&SYSTEM
  ibrav = 0, nat = 18, ntyp = 3
/
ATOMIC_SPECIES
Ac 227.00 Ac.upf
In 114.82 In.upf
Rh 102.91 Rh.upf
ATOMIC_POSITIONS crystal
Ac 0.3104 0.8136 0.0386
Ac 0.6892 0.1931 0.5405
Ac 0.8104 0.6864 0.5386
Ac 0.9077 0.9880 0.2499
Ac 0.3108 0.8069 0.4595
Ac 0.1892 0.3069 0.0405
Ac 0.5923 0.4880 0.2501
Ac 0.6896 0.1864 0.9614
Ac 0.1896 0.3136 0.4614
Ac 0.0923 0.0120 0.7501
Ac 0.8108 0.6931 0.9595
Ac 0.4077 0.5120 0.7499
In 0.5331 0.9257 0.7464
In 0.0331 0.5743 0.2464
In 0.9669 0.4257 0.7536
In 0.4669 0.0743 0.2536
Rh 0.5000 0.5000 0.0000
Rh 0.0000 0.0000 0.5000
CELL_PARAMETERS angstrom
7.7055 0.0000 0.2509
0.0000 8.0215 0.0000
-0.6072 0.0000 11.3596
```



No. 3
Material: AcEuTlZn
Method: DFT, GGA-PBE
State: relaxed Values from VASP.

Summary:
Its symmetry is F-43m. As for the total moment: 1.82 μB/atom. The density of states at the Fermi level comes out at 8.76 states/eV/f.u. The value obtained for the volume is 125.4 Å³/cell. As for the energy of formation from the pure elements: -324 meV per atom.

```
&SYSTEM
  ibrav = 0, nat = 4, ntyp = 4
/
ATOMIC_SPECIES
Ac 227.00 Ac.upf
Eu 151.96 Eu.upf
Tl 204.38 Tl.upf
Zn 65.41 Zn.upf
ATOMIC_POSITIONS crystal
Ac 0.7500 0.7500 0.7500
Eu 0.2500 0.2500 0.2500
Tl 0.0000 0.0000 0.0000
Zn 0.5000 0.5000 0.5000
CELL_PARAMETERS angstrom
-1.0592 -5.3748 1.2499
3.3336 -2.7609 3.5829
-1.8941 -1.3760 5.1081
```



No. 4
Material: Hg2OsBr
Method: DFT, GGA-PBE
State: relaxed Values from VASP.

Summary:
Its symmetry is Pm. As for the total moment: 0.00 μB/atom. Its raw formation energy is 13.44 kcal/mol of atoms. The density of states at the Fermi level comes out at 2.53 states/eV/f.u. The value obtained for the volume is 99.6 Å³/cell.

```
&SYSTEM
  ibrav = 0, nat = 4, ntyp = 3
/
ATOMIC_SPECIES
Os 190.23 Os.upf
Hg 200.59 Hg.upf
Br 79.90 Br.upf
ATOMIC_POSITIONS crystal
Os 0.0000 0.7298 0.4179
Hg 0.5000 0.2609 0.3541
Hg 0.0000 0.9172 0.0261
Br 0.5000 0.5922 0.7019
CELL_PARAMETERS angstrom
3.0613 0.0000 0.0000
0.0000 4.6183 0.0004
0.0000 2.2525 7.0462
```



No. 5
Material: PuTeH2
Method: DFT, GGA-PBE
State: relaxed Values from VASP.

Summary:
Its symmetry is Cmcm. As for the total moment: 1.11 μB/atom. The density of states at the Fermi level comes out at 8.61 states/eV/f.u. The value obtained for the uncorrected energy is -51.96 eV for the cell shown. The value obtained for the volume is 129.3 Å³/cell.

```
&SYSTEM
  ibrav = 0, nat = 8, ntyp = 3
/
ATOMIC_SPECIES
H 1.01 H.upf
Pu 244.00 Pu.upf
Te 127.60 Te.upf
ATOMIC_POSITIONS crystal
H 0.3124 0.6248 0.5643
H 0.3124 0.6248 0.9357
H 0.6876 0.3752 0.4357
H 0.6876 0.3752 0.0643
Pu 0.2101 0.4201 0.2500
Pu 0.7899 0.5799 0.7500
Te 0.9288 0.8577 0.2500
Te 0.0712 0.1423 0.7500
CELL_PARAMETERS angstrom
-1.4790 3.5270 0.5624
-2.2585 -3.7058 4.0154
4.5012 1.2935 3.7254
```



No. 6
Material: AlAu3
Method: DFT, GGA-PBE
State: relaxed Values from VASP.

Summary:
Its symmetry is Immm. As for the total moment: 0.00 μB/atom. The density of states at the Fermi level comes out at 1.01 states/eV/f.u. The value obtained for the volume is 69.4 Å³/cell. As for the energy of formation from the pure elements: -232 meV per atom.

```
&SYSTEM
  ibrav = 0, nat = 4, ntyp = 2
/
ATOMIC_SPECIES
Au 196.97 Au.upf
Al 26.98 Al.upf
ATOMIC_POSITIONS crystal
Au 0.8638 0.2806 0.5832
Au 0.3026 0.7194 0.5832
Au 0.5832 0.5000 0.0832
Al 0.0837 0.0000 0.0837
CELL_PARAMETERS angstrom
5.2923 -0.0594 -0.0402
2.3531 4.7408 0.0402
-3.4924 -2.8801 2.7426
```



No. 7
Material: Ho6TaO12
Method: DFT, GGA-PBE
State: relaxed Values from VASP.

Summary:
Its symmetry is R-3. As for the total moment: 0.06 μB/atom. Its raw formation energy is -78.46 kcal/mol of atoms. The density of states at the Fermi level comes out at 6.84 states/eV/f.u. The value obtained for the volume is 258.2 Å³/cell.

```
&SYSTEM
  ibrav = 0, nat = 19, ntyp = 3
/
ATOMIC_SPECIES
Ho 164.93 Ho.upf
O 16.00 O.upf
Ta 180.95 Ta.upf
ATOMIC_POSITIONS crystal
Ho 0.1393 0.6110 0.3029
Ho 0.6971 0.8607 0.3890
Ho 0.6110 0.3029 0.1393
Ho 0.3890 0.6971 0.8607
Ho 0.8607 0.3890 0.6971
Ho 0.3029 0.1393 0.6110
O 0.0422 0.6957 0.9265
O 0.9265 0.0422 0.6957
O 0.4139 0.8221 0.5639
O 0.5861 0.1779 0.4361
O 0.0735 0.9578 0.3043
O 0.4361 0.5861 0.1779
O 0.8221 0.5639 0.4139
O 0.1779 0.4361 0.5861
O 0.9578 0.3043 0.0735
O 0.3043 0.0735 0.9578
O 0.6957 0.9265 0.0422
O 0.5639 0.4139 0.8221
Ta 0.0000 0.0000 0.0000
CELL_PARAMETERS angstrom
-3.9534 2.2698 -4.5687
-4.4040 -2.7271 3.8498
0.9411 5.4684 3.2962
```



No. 8
Material: HfSc3Ag2
Method: DFT, GGA-PBE
State: relaxed Values from VASP.

Summary:
Its symmetry is P4/mmm. As for the total moment: 0.00 μB/atom. The density of states at the Fermi level comes out at 6.75 states/eV/f.u. The value obtained for the volume is 127.0 Å³/cell. As for the energy of formation from the pure elements: -163 meV per atom.

```
&SYSTEM
  ibrav = 0, nat = 6, ntyp = 3
/
ATOMIC_SPECIES
Ag 107.87 Ag.upf
Sc 44.96 Sc.upf
Hf 178.49 Hf.upf
ATOMIC_POSITIONS crystal
Ag 0.5000 0.5000 0.8438
Ag 0.5000 0.5000 0.1562
Sc 0.0000 0.0000 0.6843
Sc 0.0000 0.0000 0.0000
Sc 0.0000 0.0000 0.3157
Hf 0.5000 0.5000 0.5000
CELL_PARAMETERS angstrom
-0.2574 -3.3161 0.0637
2.9983 -0.2053 1.4267
-4.8938 0.5790 10.3680
```



No. 9
Material: LaAl2Ni
Method: DFT, GGA-PBE
State: relaxed Values from VASP.

Summary:
Its symmetry is C2/m. As for the total moment: 0.00 μB/atom. The density of states at the Fermi level comes out at 2.71 states/eV/f.u. The value obtained for the volume is 84.5 Å³/cell. As for the energy of formation from the pure elements: 64 meV per atom.

```
&SYSTEM
  ibrav = 0, nat = 4, ntyp = 3
/
ATOMIC_SPECIES
Ni 58.69 Ni.upf
La 138.91 La.upf
Al 26.98 Al.upf
ATOMIC_POSITIONS crystal
Ni 0.5000 0.5000 0.0000
La 0.0000 0.5000 0.5000
Al 0.5000 0.0000 0.5000
Al 0.0000 0.0000 0.0000
CELL_PARAMETERS angstrom
-1.8421 2.0503 -3.2713
5.4440 -2.5000 -1.8841
-0.8288 -3.0295 -1.5291
```



No. 10
Material: Al6Ga3Ag
Method: DFT, GGA-PBE
State: relaxed Values from VASP.

Summary:
Its symmetry is Cmc2_1. As for the total moment: 0.00 μB/atom. The density of states at the Fermi level comes out at 3.18 states/eV/f.u. The value obtained for the volume is 363.1 Å³/cell. As for the energy of formation from the pure elements: 68 meV per atom.

```
&SYSTEM
  ibrav = 0, nat = 20, ntyp = 3
/
ATOMIC_SPECIES
Al 26.98 Al.upf
Ga 69.72 Ga.upf
Ag 107.87 Ag.upf
ATOMIC_POSITIONS crystal
Al 0.2388 0.9969 0.0031
Al 0.8025 0.5459 0.0856
Al 0.6197 0.2106 0.4114
Al 0.1197 0.4114 0.2106
Al 0.7388 0.0031 0.9969
Al 0.1197 0.7894 0.5886
Al 0.8025 0.9144 0.4541
Al 0.6259 0.2148 0.7852
Al 0.3025 0.0856 0.5459
Al 0.3025 0.4541 0.9144
Al 0.1259 0.7852 0.2148
Al 0.6197 0.5886 0.7894
Ga 0.7892 0.5497 0.4503
Ga 0.4948 0.3343 0.1597
Ga 0.4948 0.8403 0.6657
Ga 0.2892 0.4503 0.5497
Ga 0.9948 0.6657 0.8403
Ga 0.9948 0.1597 0.3343
Ag 0.4976 0.8235 0.1765
Ag 0.9976 0.1765 0.8235
CELL_PARAMETERS angstrom
7.0865 0.0000 0.0000
0.0000 7.0130 -3.1500
0.0000 -0.7637 7.6499
```



No. 11
Material: CsTaI6
Method: DFT, GGA-PBE
State: relaxed Values from VASP.

Summary:
Its symmetry is C2/c. As for the total moment: 0.00 μB/atom. Its raw formation energy is -16.74 kcal/mol of atoms. The value obtained for the volume is 730.2 Å³/cell.

```
&SYSTEM
  ibrav = 0, nat = 16, ntyp = 3
/
ATOMIC_SPECIES
I 126.90 I.upf
Cs 132.91 Cs.upf
Ta 180.95 Ta.upf
ATOMIC_POSITIONS crystal
I 0.5335 0.3138 0.3970
I 0.2085 0.0947 0.9669
I 0.9053 0.7915 0.5331
I 0.6862 0.4665 0.1030
I 0.7915 0.9053 0.0331
I 0.8082 0.6117 0.8344
I 0.1918 0.3883 0.1656
I 0.6117 0.8082 0.3344
I 0.3883 0.1918 0.6656
I 0.0947 0.2085 0.4669
I 0.3138 0.5335 0.8970
I 0.4665 0.6862 0.6030
Cs 0.0782 0.9218 0.2500
Cs 0.9218 0.0782 0.7500
Ta 0.0000 0.5000 0.0000
Ta 0.5000 0.0000 0.5000
CELL_PARAMETERS angstrom
-0.1933 -0.9220 7.8387
-6.2495 -2.8995 3.8560
3.8452 -13.7102 0.9605
```



No. 12
Material: Pm6Mg5Ga
Method: DFT, GGA-PBE
State: relaxed Values from VASP.

Summary:
Its symmetry is Cmmm. As for the total moment: 0.00 μB/atom. The density of states at the Fermi level comes out at 13.12 states/eV/f.u. The value obtained for the volume is 336.3 Å³/cell. As for the energy of formation from the pure elements: -183 meV per atom.

```
&SYSTEM
  ibrav = 0, nat = 12, ntyp = 3
/
ATOMIC_SPECIES
Mg 24.30 Mg.upf
Pm 145.00 Pm.upf
Ga 69.72 Ga.upf
ATOMIC_POSITIONS crystal
Mg 0.3275 0.0000 0.3449
Mg 0.6725 0.0000 0.6551
Mg 0.0000 0.5000 0.0000
Mg 0.6682 0.5000 0.6636
Mg 0.3318 0.5000 0.3364
Pm 0.1612 0.7568 0.6775
Pm 0.5000 0.7621 0.0000
Pm 0.1612 0.2432 0.6775
Pm 0.8388 0.7568 0.3225
Pm 0.5000 0.2379 0.0000
Pm 0.8388 0.2432 0.3225
Ga 0.0000 0.0000 0.0000
CELL_PARAMETERS angstrom
5.1165 -0.0305 1.7051
0.0412 7.6878 0.0137
-0.0059 -0.0152 8.5469
```



Please write out number 10 again, unchanged.
Material: Al6Ga3Ag
Method: DFT, GGA-PBE
State: relaxed Values from VASP.

Summary:
Its symmetry is Cmc2_1. As for the total moment: 0.00 μB/atom. The density of states at the Fermi level comes out at 3.18 states/eV/f.u. The value obtained for the volume is 363.1 Å³/cell. As for the energy of formation from the pure elements: 68 meV per atom.

```
&SYSTEM
  ibrav = 0, nat = 20, ntyp = 3
/
ATOMIC_SPECIES
Al 26.98 Al.upf
Ga 69.72 Ga.upf
Ag 107.87 Ag.upf
ATOMIC_POSITIONS crystal
Al 0.2388 0.9969 0.0031
Al 0.8025 0.5459 0.0856
Al 0.6197 0.2106 0.4114
Al 0.1197 0.4114 0.2106
Al 0.7388 0.0031 0.9969
Al 0.1197 0.7894 0.5886
Al 0.8025 0.9144 0.4541
Al 0.6259 0.2148 0.7852
Al 0.3025 0.0856 0.5459
Al 0.3025 0.4541 0.9144
Al 0.1259 0.7852 0.2148
Al 0.6197 0.5886 0.7894
Ga 0.7892 0.5497 0.4503
Ga 0.4948 0.3343 0.1597
Ga 0.4948 0.8403 0.6657
Ga 0.2892 0.4503 0.5497
Ga 0.9948 0.6657 0.8403
Ga 0.9948 0.1597 0.3343
Ag 0.4976 0.8235 0.1765
Ag 0.9976 0.1765 0.8235
CELL_PARAMETERS angstrom
7.0865 0.0000 0.0000
0.0000 7.0130 -3.1500
0.0000 -0.7637 7.6499
```



Which value of total moment does entry 2 give? 0.00 μB/atom